First-principles (PBE-GGA) data for crystalline BaCa2Mn at its relaxed geometry, as listed in Alexandria via LeMat-Bulk.

Cell: 11.454 11.454 11.454 Å, 20.04 20.04 20.04°
Fractional coordinates of all 4 atoms:
Ba: 0.000 0.000 0.000
Ca: 0.229 0.229 0.229
Ca: 0.771 0.771 0.771
Mn: 0.500 0.500 0.500

Values from the calculation:
Crystal system: trigonal
E: -0.123 Ha/atom
Energy of formation from the pure elements: 0.42 eV per atom
Total moment: 3.61 μB per cell
Offset from the most stable computed form: 117 meV per atom

***

First-principles (PBE-GGA) data for crystalline BaCa2Mn at its relaxed geometry, as listed in Alexandria via LeMat-Bulk.

Cell: 5.118 5.118 5.787 Å, 90.00 90.00 90.00°
Fractional coordinates of all 4 atoms:
Ba: 0.000 0.000 0.000
Ca: 0.000 0.500 0.500
Ca: 0.500 0.000 0.500
Mn: 0.500 0.500 0.000

Values from the calculation:
Crystal system: tetragonal
E: -0.123 Ha/atom
Energy of formation from the pure elements: 0.43 eV per atom
Total moment: 4.27 μB per cell
Offset from the most stable computed form: 133 meV per atom

***

First-principles (PBE-GGA) data for crystalline BaCa4Mn at its relaxed geometry, as listed in Alexandria via LeMat-Bulk.

Cell: 7.137 7.137 7.137 Å, 60.00 60.00 60.00°
Fractional coordinates of all 6 atoms:
Ba: 0.000 0.000 0.000
Ca: 0.128 0.624 0.624
Ca: 0.624 0.128 0.624
Ca: 0.624 0.624 0.128
Ca: 0.624 0.624 0.624
Mn: 0.250 0.250 0.250

Values from the calculation:
Crystal system: cubic
E: -0.099 Ha/atom
Energy of formation from the pure elements: 0.48 eV per atom
Total moment: 4.89 μB per cell

***

First-principles (PBE-GGA) data for crystalline BaCaMn at its relaxed geometry, as listed in Alexandria via LeMat-Bulk.

Cell: 5.569 5.569 5.569 Å, 60.00 60.00 60.00°
Fractional coordinates of all 3 atoms:
Ba: 0.000 0.000 0.000
Ca: 0.500 0.500 0.500
Mn: 0.750 0.750 0.750

Values from the calculation:
Crystal system: cubic
E: -0.139 Ha/atom
Energy of formation from the pure elements: 0.59 eV per atom
Total moment: 3.63 μB per cell
Offset from the most stable computed form: 184 meV per atom

***

First-principles (PBE-GGA) data for crystalline BaCaMn at its relaxed geometry, as listed in Alexandria via LeMat-Bulk.

Cell: 4.063 4.063 7.994 Å, 90.00 90.00 120.00°
Fractional coordinates of all 3 atoms:
Ba: 0.000 0.000 0.000
Ca: 0.333 0.667 0.452
Mn: 0.667 0.333 0.710

Values from the calculation:
Crystal system: trigonal
E: -0.140 Ha/atom
Energy of formation from the pure elements: 0.56 eV per atom
Total moment: 3.36 μB per cell
Offset from the most stable computed form: 148 meV per atom

***

First-principles (PBE-GGA) data for crystalline BaCa2MnN4 at its relaxed geometry, as listed in Alexandria via LeMat-Bulk.

Cell: 7.564 6.239 5.921 Å, 90.00 90.00 90.00°
Fractional coordinates of all 16 atoms:
Ba: 0.000 0.106 0.000
Ba: 0.500 0.894 0.500
Ca: 0.236 0.350 0.511
Ca: 0.264 0.650 0.011
Ca: 0.736 0.650 0.011
Ca: 0.764 0.350 0.511
Mn: 0.000 0.806 0.519
Mn: 0.500 0.194 0.019
N: 0.000 0.090 0.509
N: 0.000 0.724 0.804
N: 0.187 0.703 0.387
N: 0.313 0.297 0.887
N: 0.500 0.276 0.304
N: 0.500 0.910 0.009
N: 0.687 0.297 0.887
N: 0.813 0.703 0.387

Values from the calculation:
Crystal system: orthorhombic
E: -0.247 Ha/atom
Raw formation energy: -508 kJ/mol of formula units
Total moment: 2.00 μB per cell

***

- Which value of total moment does entry 4 give?
  3.63 μB per cell

***

Copy entry 3 word for word.
First-principles (PBE-GGA) data for crystalline BaCa4Mn at its relaxed geometry, as listed in Alexandria via LeMat-Bulk.

Cell: 7.137 7.137 7.137 Å, 60.00 60.00 60.00°
Fractional coordinates of all 6 atoms:
Ba: 0.000 0.000 0.000
Ca: 0.128 0.624 0.624
Ca: 0.624 0.128 0.624
Ca: 0.624 0.624 0.128
Ca: 0.624 0.624 0.624
Mn: 0.250 0.250 0.250

Values from the calculation:
Crystal system: cubic
E: -0.099 Ha/atom
Energy of formation from the pure elements: 0.48 eV per atom
Total moment: 4.89 μB per cell

***

What did the sixth record say?
First-principles (PBE-GGA) data for crystalline BaCa2MnN4 at its relaxed geometry, as listed in Alexandria via LeMat-Bulk.

Cell: 7.564 6.239 5.921 Å, 90.00 90.00 90.00°
Fractional coordinates of all 16 atoms:
Ba: 0.000 0.106 0.000
Ba: 0.500 0.894 0.500
Ca: 0.236 0.350 0.511
Ca: 0.264 0.650 0.011
Ca: 0.736 0.650 0.011
Ca: 0.764 0.350 0.511
Mn: 0.000 0.806 0.519
Mn: 0.500 0.194 0.019
N: 0.000 0.090 0.509
N: 0.000 0.724 0.804
N: 0.187 0.703 0.387
N: 0.313 0.297 0.887
N: 0.500 0.276 0.304
N: 0.500 0.910 0.009
N: 0.687 0.297 0.887
N: 0.813 0.703 0.387

Values from the calculation:
Crystal system: orthorhombic
E: -0.247 Ha/atom
Raw formation energy: -508 kJ/mol of formula units
Total moment: 2.00 μB per cell

***

Copy entry 2 word for word.
First-principles (PBE-GGA) data for crystalline BaCa2Mn at its relaxed geometry, as listed in Alexandria via LeMat-Bulk.

Cell: 5.118 5.118 5.787 Å, 90.00 90.00 90.00°
Fractional coordinates of all 4 atoms:
Ba: 0.000 0.000 0.000
Ca: 0.000 0.500 0.500
Ca: 0.500 0.000 0.500
Mn: 0.500 0.500 0.000

Values from the calculation:
Crystal system: tetragonal
E: -0.123 Ha/atom
Energy of formation from the pure elements: 0.43 eV per atom
Total moment: 4.27 μB per cell
Offset from the most stable computed form: 133 meV per atom